Entry 1:
Computed, not measured: a relaxed structure of Ca2Ta at the PBE-GGA level of DFT.

a b c (Å): 8.019 8.019 7.322
angles (deg): 105.08 105.08 23.50
Atoms (fractional coordinates):
Ca: 0.119 0.119 0.063
Ca: 0.163 0.163 0.606
Ca: 0.837 0.837 0.394
Ca: 0.881 0.881 0.937
Ta: 0.497 0.497 0.678
Ta: 0.503 0.503 0.322

Output
The calculation puts the formation energy at 55.59 kJ/mol of atoms. The crystal system is monoclinic.

Entry 2:
Computed, not measured: a relaxed structure of Na2MgCuO4 at the PBE-GGA level of DFT.

a b c (Å): 5.023 5.023 5.023
angles (deg): 108.14 108.14 112.17
Atoms (fractional coordinates):
Na: 0.000 0.500 0.500
Na: 0.500 0.000 0.500
Mg: 0.000 0.000 0.000
Cu: 0.500 0.500 0.000
O: 0.108 0.108 0.684
O: 0.424 0.424 0.316
O: 0.576 0.892 0.000
O: 0.892 0.576 0.000

Output
Its raw formation energy is -1114 meV/atom. The crystal system is tetragonal.

Number 1: total moment 0.00 Bohr magnetons per cell, E_tot -4.71 eV/atom. Number 2: total moment 0.99 Bohr magnetons per cell, E_tot -4.63 eV/atom.